Below is a crystal of Be4Cl3 relaxed with PBEsol, with properties calculated at the SCAN level.

abc: 3.651 6.144 6.144
angles: 120.00 90.00 90.00
Sites, in units of the cell vectors:
Be: 0.753 0.000 0.000
Be: 0.247 0.000 0.000
Be: 0.500 0.333 0.667
Be: 0.500 0.667 0.333
Cl: 0.000 0.000 0.500
Cl: 0.000 0.500 0.000
Cl: 0.000 0.500 0.500

Summary:
Formation energy without anion corrections (eV per atom): 0.593
Density (Mg/m³): 2.0
VASP energy (eV per atom): -5.3143
DOS(E_F) (states/eV per cell): 2.06
Total magnetic moment (μB per formula unit): 0.004

=====

Below is a crystal of RbGe2Os relaxed with PBEsol, with properties calculated at the SCAN level.

abc: 4.710 4.710 4.710
angles: 60.00 60.00 60.00
Sites, in units of the cell vectors:
Ge: 0.250 0.250 0.250
Ge: 0.750 0.750 0.750
Os: 0.500 0.500 0.500
Rb: 0.000 0.000 0.000

Summary:
Density (Mg/m³): 9.5
VASP energy (eV per atom): -31.7119
Energy of formation from the pure elements (eV per atom): 0.987
DOS(E_F) (states/eV per cell): 3.27
Total magnetic moment (μB per formula unit): 0.000

=====

Below is a crystal of TaTe2RhO relaxed with PBEsol, with properties calculated at the SCAN level.

abc: 4.680 5.271 5.271
angles: 90.00 90.00 90.00
Sites, in units of the cell vectors:
Te: 0.000 0.000 0.500
Te: 0.000 0.500 0.000
Rh: 0.500 0.000 0.000
O: 0.500 0.500 0.500
Ta: 0.000 0.000 0.000

Summary:
Formation energy without anion corrections (eV per atom): 1.053
Density (Mg/m³): 7.1
VASP energy (eV per atom): -35.1647
DOS(E_F) (states/eV per cell): 3.79
Total magnetic moment (μB per formula unit): 2.122

=====

Below is a crystal of CaScPb2 relaxed with PBEsol, with properties calculated at the SCAN level.

abc: 3.463 3.463 8.608
angles: 90.00 90.00 90.07
Sites, in units of the cell vectors:
Pb: 0.000 0.000 0.267
Pb: 0.000 0.000 0.733
Sc: 0.500 0.500 0.500
Ca: 0.500 0.500 0.000

Summary:
Density (Mg/m³): 8.0
VASP energy (eV per atom): -44.4870
Energy of formation from the pure elements (eV per atom): -0.621
DOS(E_F) (states/eV per cell): 1.99
Total magnetic moment (μB per formula unit): 0.007

=====

Question: What is the total magnetic moment in the fourth record?
Answer: 0.007 μB per formula unit

=====

Question: What is the VASP energy in the second record?
Answer: -31.7119 eV per atom

=====

Question: Among the records above, which one has the lowest VASP energy?
Answer: CaScPb2

=====

Question: The highest total magnetic moment belongs to which entry?
Answer: TaTe2RhO